[1]
# CsSiPd3 | the Alexandria database | PBE | optimized geometry
data_CsSiPd3
_symmetry_space_group_name_H-M 'P 1'
_symmetry_Int_Tables_number 1
_cell_length_a 4.8166
_cell_length_b 4.8166
_cell_length_c 4.8166
_cell_angle_alpha 90.00
_cell_angle_beta 90.00
_cell_angle_gamma 90.00
loop_
_symmetry_equiv_pos_as_xyz
'x,y,z'
loop_
_atom_site_label
_atom_site_type_symbol
_atom_site_fract_x
_atom_site_fract_y
_atom_site_fract_z
Cs1 Cs 0.0000 0.0000 0.0000
Si1 Si 0.5000 0.5000 0.5000
Pd1 Pd 0.0000 0.5000 0.5000
Pd2 Pd 0.5000 0.0000 0.5000
Pd3 Pd 0.5000 0.5000 0.0000
# - Space-group type: Pm-3m (221)
# - Distance to the lowest polymorph of the same formula: 0 meV per atom
# - Uncorrected energy: -4.373 eV per atom


[2]
# Tl2CdGa7 | the Alexandria database | PBE | optimized geometry
data_Tl2CdGa7
_symmetry_space_group_name_H-M 'P 1'
_symmetry_Int_Tables_number 1
_cell_length_a 4.3956
_cell_length_b 4.3956
_cell_length_c 11.6414
_cell_angle_alpha 90.00
_cell_angle_beta 90.00
_cell_angle_gamma 90.00
loop_
_symmetry_equiv_pos_as_xyz
'x,y,z'
loop_
_atom_site_label
_atom_site_type_symbol
_atom_site_fract_x
_atom_site_fract_y
_atom_site_fract_z
Tl1 Tl 0.0000 0.5000 0.2482
Tl2 Tl 0.5000 0.0000 0.7518
Cd1 Cd 0.0000 0.0000 0.5000
Ga1 Ga 0.0000 0.0000 0.0000
Ga2 Ga 0.0000 0.5000 0.6468
Ga3 Ga 0.0000 0.5000 0.8674
Ga4 Ga 0.5000 0.0000 0.1326
Ga5 Ga 0.5000 0.0000 0.3532
Ga6 Ga 0.5000 0.5000 0.0000
Ga7 Ga 0.5000 0.5000 0.5000
# - Space-group type: P-4m2 (115)
# - Uncorrected energy: -2.660 eV per atom


[3]
# TlBiSbTe2 | the Alexandria database | PBE | optimized geometry
data_TlBiSbTe2
_symmetry_space_group_name_H-M 'P 1'
_symmetry_Int_Tables_number 1
_cell_length_a 6.0675
_cell_length_b 6.0675
_cell_length_c 5.8479
_cell_angle_alpha 90.00
_cell_angle_beta 90.00
_cell_angle_gamma 90.00
loop_
_symmetry_equiv_pos_as_xyz
'x,y,z'
loop_
_atom_site_label
_atom_site_type_symbol
_atom_site_fract_x
_atom_site_fract_y
_atom_site_fract_z
Tl1 Tl 0.0000 0.0000 0.0000
Bi1 Bi 0.5000 0.5000 0.5000
Sb1 Sb 0.5000 0.5000 0.0000
Te1 Te 0.0000 0.5000 0.5000
Te2 Te 0.5000 0.0000 0.5000
# - Space-group type: P4/mmm (123)
# - Distance to the lowest polymorph of the same formula: 0 meV per atom
# - Uncorrected energy: -2.942 eV per atom


[4]
# HoCoCuSi2 | the Alexandria database | PBE | optimized geometry
data_HoCoCuSi2
_symmetry_space_group_name_H-M 'P 1'
_symmetry_Int_Tables_number 1
_cell_length_a 5.5941
_cell_length_b 5.5941
_cell_length_c 5.5941
_cell_angle_alpha 138.52
_cell_angle_beta 138.52
_cell_angle_gamma 60.11
loop_
_symmetry_equiv_pos_as_xyz
'x,y,z'
loop_
_atom_site_label
_atom_site_type_symbol
_atom_site_fract_x
_atom_site_fract_y
_atom_site_fract_z
Ho1 Ho 0.0000 0.0000 0.0000
Co1 Co 0.7500 0.2500 0.5000
Cu1 Cu 0.2500 0.7500 0.5000
Si1 Si 0.3764 0.3764 0.0000
Si2 Si 0.6236 0.6236 0.0000
# - Space-group type: I-4m2 (119)
# - Uncorrected energy: -5.976 eV per atom


[5]
# NdGePt2 | the Alexandria database | PBE | optimized geometry
data_NdGePt2
_symmetry_space_group_name_H-M 'P 1'
_symmetry_Int_Tables_number 1
_cell_length_a 5.7086
_cell_length_b 5.7086
_cell_length_c 5.7086
_cell_angle_alpha 44.48
_cell_angle_beta 44.48
_cell_angle_gamma 44.48
loop_
_symmetry_equiv_pos_as_xyz
'x,y,z'
loop_
_atom_site_label
_atom_site_type_symbol
_atom_site_fract_x
_atom_site_fract_y
_atom_site_fract_z
Nd1 Nd 0.0000 0.0000 0.0000
Ge1 Ge 0.5000 0.5000 0.5000
Pt1 Pt 0.2110 0.2110 0.2110
Pt2 Pt 0.7890 0.7890 0.7890
# - Space-group type: R-3m (166)
# - Uncorrected energy: -6.220 eV per atom


[6]
# Tb3MgCo | the Alexandria database | PBE | optimized geometry
data_Tb3MgCo
_symmetry_space_group_name_H-M 'P 1'
_symmetry_Int_Tables_number 1
_cell_length_a 5.2244
_cell_length_b 5.2244
_cell_length_c 5.2244
_cell_angle_alpha 90.00
_cell_angle_beta 90.00
_cell_angle_gamma 90.00
loop_
_symmetry_equiv_pos_as_xyz
'x,y,z'
loop_
_atom_site_label
_atom_site_type_symbol
_atom_site_fract_x
_atom_site_fract_y
_atom_site_fract_z
Tb1 Tb 0.0000 0.0000 0.5000
Tb2 Tb 0.0000 0.5000 0.0000
Tb3 Tb 0.5000 0.0000 0.0000
Mg1 Mg 0.5000 0.5000 0.5000
Co1 Co 0.0000 0.0000 0.0000
# - Space-group type: Pm-3m (221)
# - Distance to the lowest polymorph of the same formula: 59 meV per atom
# - Uncorrected energy: -4.558 eV per atom


The highest uncorrected energy belongs to which entry?
Tl2CdGa7


Look up the uncorrected energy of the fourth one.
-5.976 eV per atom


What is the uncorrected energy in the first record?
-4.373 eV per atom